Material: AlMoF2
Method: DFT, PBEsol
State: relaxed

POSCAR file:
```
AlMoF2
1.0
0.0000 2.8927 2.8927
2.8927 0.0000 2.8927
2.8927 2.8927 0.0000
Al Mo F
1 1 2
Direct
0.0000 0.0000 0.0000 Al
0.5000 0.5000 0.5000 Mo
0.2500 0.2500 0.2500 F
0.7500 0.7500 0.7500 F
```

Energy relative to the elements, uncorrected = -369 meV per atom
Density = 5.52 g cm⁻³
Magnetization = 0.00 μB/cell
Space-group type = Fm-3m
Relative energy among the computed polymorphs = 123 kJ/mol of formula units